Entry 1:
Ca3ScAs after structural relaxation, computed with GGA-PBE.

Summary:
total magnetic moment = 3.85 μB/f.u.
ΔH_f (0 K) = 0.7968 eV per atom
crystal system = cubic
volume = 189.2 Å³/cell

a b c (Å): 5.741 5.741 5.741
angles (deg): 90.00 90.00 90.00
Space group Pm-3m (No. 221)
Unique sites:
Ca  0.000  0.000  0.500 x3
Sc  0.000  0.000  0.000 x1
As  0.500  0.500  0.500 x1



Entry 2:
Ca3ScAs after structural relaxation, computed with GGA-PBE.

Summary:
total magnetic moment = 0.00 μB/f.u.
ΔH_f (0 K) = -0.1996 eV per atom
crystal system = cubic
volume = 179.3 Å³/cell

a b c (Å): 5.639 5.639 5.639
angles (deg): 90.00 90.00 90.00
Space group Pm-3m (No. 221)
Unique sites:
Ca  0.000  0.000  0.500 x3
Sc  0.500  0.500  0.500 x1
As  0.000  0.000  0.000 x1



Entry 3:
CaSc4As after structural relaxation, computed with GGA-PBE.

Summary:
total magnetic moment = 0.05 μB/f.u.
ΔH_f (0 K) = 0.2105 eV per atom
crystal system = cubic
volume = 628.1 Å³/cell

a b c (Å): 8.564 8.564 8.564
angles (deg): 90.00 90.00 90.00
Space group F-43m (No. 216)
Unique sites:
Ca  0.000  0.000  0.000 x4
Sc  0.126  0.126  0.626 x16
As  0.250  0.250  0.250 x4



Entry 4:
Ca2ScAs after structural relaxation, computed with GGA-PBE.

Summary:
total magnetic moment = 0.00 μB/f.u.
ΔH_f (0 K) = -0.3169 eV per atom
crystal system = tetragonal
volume = 204.5 Å³/cell

a b c (Å): 4.362 4.362 10.748
angles (deg): 90.00 90.00 90.00
Space group I4/mmm (No. 139)
Unique sites:
Ca  0.000  0.500  0.250 x4
Sc  0.000  0.000  0.000 x2
As  0.000  0.000  0.500 x2



Entry 5:
CaScAs2Se after structural relaxation, computed with GGA-PBE.

Summary:
total magnetic moment = 0.00 μB/f.u.
raw formation energy = 0.22 eV per atom
crystal system = tetragonal
volume = 142.6 Å³/cell

a b c (Å): 5.211 5.211 5.251
angles (deg): 90.00 90.00 90.00
Space group P4/mmm (No. 123)
Unique sites:
Ca  0.000  0.000  0.000 x1
Sc  0.500  0.500  0.500 x1
As  0.000  0.500  0.000 x2
Se  0.000  0.000  0.500 x1



Entry 6:
CaScAs2Se after structural relaxation, computed with GGA-PBE.

Summary:
total magnetic moment = 0.00 μB/f.u.
raw formation energy = -0.64 eV per atom
crystal system = tetragonal
volume = 134.8 Å³/cell

a b c (Å): 5.096 5.096 5.191
angles (deg): 90.00 90.00 90.00
Space group P4/mmm (No. 123)
Unique sites:
Ca  0.000  0.000  0.000 x1
Sc  0.500  0.500  0.500 x1
As  0.000  0.500  0.500 x2
Se  0.500  0.500  0.000 x1



Entry 7:
CaScAsSe2 after structural relaxation, computed with GGA-PBE.

Summary:
total magnetic moment = 0.00 μB/f.u.
raw formation energy = -0.05 eV per atom
crystal system = tetragonal
volume = 145.2 Å³/cell

a b c (Å): 5.280 5.280 5.207
angles (deg): 90.00 90.00 90.00
Space group P4/mmm (No. 123)
Unique sites:
Ca  0.000  0.000  0.000 x1
Sc  0.500  0.500  0.500 x1
As  0.000  0.000  0.500 x1
Se  0.000  0.500  0.000 x2



Entry 8:
CaScAsSe2 after structural relaxation, computed with GGA-PBE.

Summary:
total magnetic moment = 0.00 μB/f.u.
raw formation energy = -0.92 eV per atom
crystal system = tetragonal
volume = 136.1 Å³/cell

a b c (Å): 5.168 5.168 5.095
angles (deg): 90.00 90.00 90.00
Space group P4/mmm (No. 123)
Unique sites:
Ca  0.000  0.000  0.000 x1
Sc  0.500  0.500  0.500 x1
As  0.500  0.500  0.000 x1
Se  0.000  0.500  0.500 x2